Crystalline TeAsBr2 at its relaxed geometry, computed with PBE-GGA.

Geometry as POSCAR:
```
TeAsBr2
1.0
3.454 0.000 0.000
0.000 4.812 0.000
0.000 0.000 6.246
Te As Br
1 1 2
Direct
0.000 0.000 0.000 Te
0.500 0.000 0.500 As
0.000 0.500 0.500 Br
0.500 0.500 0.000 Br
```

Results
Size of the total moment, μB per formula unit: 0.0
Excess energy over the best structure of this formula in the dataset, meV per atom: 516
Raw formation energy, eV/atom: 0.345
D(E_F), states/eV/cell: 2.076
Mass density, g/cm3: 5.79

Crystalline TeAsBr2 at its relaxed geometry, computed with PBE-GGA.

Geometry as POSCAR:
```
TeAsBr2
1.0
4.667 0.000 0.000
0.000 4.667 0.000
0.000 0.000 4.561
Te As Br
1 1 2
Direct
0.000 0.000 0.000 Te
0.500 0.500 0.000 As
0.000 0.500 0.500 Br
0.500 0.000 0.500 Br
```

Results
Size of the total moment, μB per formula unit: 0.0
Excess energy over the best structure of this formula in the dataset, meV per atom: 701
Raw formation energy, eV/atom: 0.530
D(E_F), states/eV/cell: 3.559
Mass density, g/cm3: 6.06

Crystalline TeAsBr3 at its relaxed geometry, computed with PBE-GGA.

Geometry as POSCAR:
```
TeAsBr3
1.0
5.401 0.000 0.000
0.000 5.401 0.000
0.000 0.000 5.401
Te As Br
1 1 3
Direct
0.000 0.000 0.000 Te
0.500 0.500 0.500 As
0.000 0.500 0.500 Br
0.500 0.000 0.500 Br
0.500 0.500 0.000 Br
```

Results
Size of the total moment, μB per formula unit: 2.4
Excess energy over the best structure of this formula in the dataset, meV per atom: 418
Raw formation energy, eV/atom: 0.178
D(E_F), states/eV/cell: 2.776
Mass density, g/cm3: 4.66

Crystalline TiTeAs2Br at its relaxed geometry, computed with PBE-GGA.

Geometry as POSCAR:
```
TiTeAs2Br
1.0
5.108 0.000 0.000
0.000 5.108 0.000
0.000 0.000 4.797
Ti Te As Br
1 1 2 1
Direct
0.000 0.000 0.000 Ti
0.500 0.500 0.500 Te
0.000 0.500 0.000 As
0.500 0.000 0.000 As
0.000 0.000 0.500 Br
```

Results
Size of the total moment, μB per formula unit: 0.0
Excess energy over the best structure of this formula in the dataset, meV per atom: 0
Raw formation energy, eV/atom: 0.034
D(E_F), states/eV/cell: 4.054
Mass density, g/cm3: 5.38

Crystalline TiTeAsBr2 at its relaxed geometry, computed with PBE-GGA.

Geometry as POSCAR:
```
TiTeAsBr2
1.0
4.865 0.000 0.000
0.000 4.865 0.000
0.000 0.000 5.560
Ti Te As Br
1 1 1 2
Direct
0.000 0.000 0.000 Ti
0.500 0.500 0.500 Te
0.000 0.000 0.500 As
0.000 0.500 0.000 Br
0.500 0.000 0.000 Br
```

Results
Size of the total moment, μB per formula unit: 0.0
Excess energy over the best structure of this formula in the dataset, meV per atom: 0
Raw formation energy, eV/atom: -0.156
D(E_F), states/eV/cell: 6.755
Mass density, g/cm3: 5.18

Crystalline TlTeAsBr2 at its relaxed geometry, computed with PBE-GGA.

Geometry as POSCAR:
```
TlTeAsBr2
1.0
5.998 0.000 0.000
0.000 5.998 0.000
0.000 0.000 5.157
Tl Te As Br
1 1 1 2
Direct
0.000 0.000 0.000 Tl
0.500 0.500 0.500 Te
0.500 0.500 0.000 As
0.000 0.500 0.500 Br
0.500 0.000 0.500 Br
```

Results
Size of the total moment, μB per formula unit: 0.0
Excess energy over the best structure of this formula in the dataset, meV per atom: 0
Raw formation energy, eV/atom: 0.014
D(E_F), states/eV/cell: 0.660
Mass density, g/cm3: 5.07

Crystalline Tl2TeAsBr at its relaxed geometry, computed with PBE-GGA.

Geometry as POSCAR:
```
Tl2TeAsBr
1.0
6.084 0.000 0.000
0.000 6.084 0.000
0.000 0.000 5.248
Tl Te As Br
2 1 1 1
Direct
0.000 0.500 0.000 Tl
0.500 0.000 0.000 Tl
0.000 0.000 0.500 Te
0.000 0.000 0.000 As
0.500 0.500 0.500 Br
```

Results
Size of the total moment, μB per formula unit: 0.0
Raw formation energy, eV/atom: -0.056
D(E_F), states/eV/cell: 2.390
Mass density, g/cm3: 5.91

Crystalline TlTeAs2Br at its relaxed geometry, computed with PBE-GGA.

Geometry as POSCAR:
```
TlTeAs2Br
1.0
5.384 0.000 0.000
0.000 5.384 0.000
0.000 0.000 5.977
Tl Te As Br
1 1 2 1
Direct
0.000 0.000 0.000 Tl
0.500 0.500 0.500 Te
0.000 0.500 0.500 As
0.500 0.000 0.500 As
0.500 0.500 0.000 Br
```

Results
Size of the total moment, μB per formula unit: 0.6
Excess energy over the best structure of this formula in the dataset, meV per atom: 0
Raw formation energy, eV/atom: 0.429
D(E_F), states/eV/cell: 4.622
Mass density, g/cm3: 5.39

Crystalline TlTeAsBr2 at its relaxed geometry, computed with PBE-GGA.

Geometry as POSCAR:
```
TlTeAsBr2
1.0
5.508 0.000 0.000
0.000 5.508 0.000
0.000 0.000 5.782
Tl Te As Br
1 1 1 2
Direct
0.000 0.000 0.000 Tl
0.500 0.500 0.500 Te
0.000 0.000 0.500 As
0.000 0.500 0.000 Br
0.500 0.000 0.000 Br
```

Results
Size of the total moment, μB per formula unit: 0.5
Excess energy over the best structure of this formula in the dataset, meV per atom: 418
Raw formation energy, eV/atom: 0.431
D(E_F), states/eV/cell: 2.413
Mass density, g/cm3: 5.37

Crystalline VTeAs2Br at its relaxed geometry, computed with PBE-GGA.

Geometry as POSCAR:
```
VTeAs2Br
1.0
4.985 0.000 0.000
0.000 4.985 0.000
0.000 0.000 4.754
V Te As Br
1 1 2 1
Direct
0.000 0.000 0.000 V
0.500 0.500 0.500 Te
0.000 0.500 0.000 As
0.500 0.000 0.000 As
0.000 0.000 0.500 Br
```

Results
Size of the total moment, μB per formula unit: 1.2
Excess energy over the best structure of this formula in the dataset, meV per atom: 0
Raw formation energy, eV/atom: 0.225
D(E_F), states/eV/cell: 3.453
Mass density, g/cm3: 5.74

Crystalline TeAs2WBr at its relaxed geometry, computed with PBE-GGA.

Geometry as POSCAR:
```
TeAs2WBr
1.0
5.379 0.000 0.000
0.000 5.379 0.000
0.000 0.000 5.256
Te As W Br
1 2 1 1
Direct
0.000 0.000 0.000 Te
0.000 0.500 0.000 As
0.500 0.000 0.000 As
0.500 0.500 0.500 W
0.000 0.000 0.500 Br
```

Results
Size of the total moment, μB per formula unit: 3.1
Excess energy over the best structure of this formula in the dataset, meV per atom: 1242
Raw formation energy, eV/atom: 1.774
D(E_F), states/eV/cell: 3.598
Mass density, g/cm3: 5.91

Crystalline TeAs2WBr at its relaxed geometry, computed with PBE-GGA.

Geometry as POSCAR:
```
TeAs2WBr
1.0
5.202 0.000 0.000
0.000 5.202 0.000
0.000 0.000 4.700
Te As W Br
1 2 1 1
Direct
0.000 0.000 0.000 Te
0.000 0.500 0.500 As
0.500 0.000 0.500 As
0.500 0.500 0.000 W
0.500 0.500 0.500 Br
```

Results
Size of the total moment, μB per formula unit: 0.8
Excess energy over the best structure of this formula in the dataset, meV per atom: 1207
Raw formation energy, eV/atom: 1.739
D(E_F), states/eV/cell: 5.093
Mass density, g/cm3: 7.07

Crystalline TeAs2WBr at its relaxed geometry, computed with PBE-GGA.

Geometry as POSCAR:
```
TeAs2WBr
1.0
5.022 0.000 0.000
0.000 5.022 0.000
0.000 0.000 4.894
Te As W Br
1 2 1 1
Direct
0.000 0.000 0.000 Te
0.000 0.500 0.500 As
0.500 0.000 0.500 As
0.500 0.500 0.500 W
0.500 0.500 0.000 Br
```

Results
Size of the total moment, μB per formula unit: 0.0
Excess energy over the best structure of this formula in the dataset, meV per atom: 0
Raw formation energy, eV/atom: 0.532
D(E_F), states/eV/cell: 5.403
Mass density, g/cm3: 7.28

Crystalline YTeAs2Br at its relaxed geometry, computed with PBE-GGA.

Geometry as POSCAR:
```
YTeAs2Br
1.0
5.359 0.000 0.000
0.000 5.359 0.000
0.000 0.000 5.271
Y Te As Br
1 1 2 1
Direct
0.000 0.000 0.000 Y
0.500 0.500 0.500 Te
0.000 0.500 0.500 As
0.500 0.000 0.500 As
0.500 0.500 0.000 Br
```

Results
Size of the total moment, μB per formula unit: 0.0
Excess energy over the best structure of this formula in the dataset, meV per atom: 214
Raw formation energy, eV/atom: 0.258
D(E_F), states/eV/cell: 2.858
Mass density, g/cm3: 4.89

Crystalline YTeAs2Br at its relaxed geometry, computed with PBE-GGA.

Geometry as POSCAR:
```
YTeAs2Br
1.0
5.620 0.000 0.000
0.000 5.620 0.000
0.000 0.000 5.260
Y Te As Br
1 1 2 1
Direct
0.000 0.000 0.000 Y
0.500 0.500 0.500 Te
0.000 0.500 0.000 As
0.500 0.000 0.000 As
0.000 0.000 0.500 Br
```

Results
Size of the total moment, μB per formula unit: 0.1
Excess energy over the best structure of this formula in the dataset, meV per atom: 0
Raw formation energy, eV/atom: 0.044
D(E_F), states/eV/cell: 4.912
Mass density, g/cm3: 4.46

Crystalline ZnTeAsBr2 at its relaxed geometry, computed with PBE-GGA.

Geometry as POSCAR:
```
ZnTeAsBr2
1.0
5.668 0.000 0.000
0.000 5.668 0.000
0.000 0.000 5.683
Zn Te As Br
1 1 1 2
Direct
0.000 0.000 0.000 Zn
0.500 0.500 0.500 Te
0.500 0.500 0.000 As
0.000 0.500 0.500 Br
0.500 0.000 0.500 Br
```

Results
Size of the total moment, μB per formula unit: 1.6
Excess energy over the best structure of this formula in the dataset, meV per atom: 174
Raw formation energy, eV/atom: 0.407
D(E_F), states/eV/cell: 2.312
Mass density, g/cm3: 3.89

Crystalline ZnTeAsBr2 at its relaxed geometry, computed with PBE-GGA.

Geometry as POSCAR:
```
ZnTeAsBr2
1.0
4.944 0.000 0.000
0.000 4.944 0.000
0.000 0.000 5.362
Zn Te As Br
1 1 1 2
Direct
0.000 0.000 0.000 Zn
0.500 0.500 0.500 Te
0.000 0.000 0.500 As
0.000 0.500 0.000 Br
0.500 0.000 0.000 Br
```

Results
Size of the total moment, μB per formula unit: 0.0
Excess energy over the best structure of this formula in the dataset, meV per atom: 0
Raw formation energy, eV/atom: 0.232
D(E_F), states/eV/cell: 4.302
Mass density, g/cm3: 5.42

Crystalline ZnTeAs2Br at its relaxed geometry, computed with PBE-GGA.

Geometry as POSCAR:
```
ZnTeAs2Br
1.0
5.045 0.000 0.000
0.000 5.045 0.000
0.000 0.000 4.855
Zn Te As Br
1 1 2 1
Direct
0.000 0.000 0.000 Zn
0.500 0.500 0.500 Te
0.000 0.500 0.000 As
0.500 0.000 0.000 As
0.000 0.000 0.500 Br
```

Results
Size of the total moment, μB per formula unit: 0.0
Excess energy over the best structure of this formula in the dataset, meV per atom: 0
Raw formation energy, eV/atom: 0.470
D(E_F), states/eV/cell: 3.631
Mass density, g/cm3: 5.68

Crystalline ZnTeAs2Br at its relaxed geometry, computed with PBE-GGA.

Geometry as POSCAR:
```
ZnTeAs2Br
1.0
5.448 0.000 0.000
0.000 5.448 0.000
0.000 0.000 5.722
Zn Te As Br
1 1 2 1
Direct
0.000 0.000 0.000 Zn
0.500 0.500 0.500 Te
0.000 0.500 0.500 As
0.500 0.000 0.500 As
0.500 0.500 0.000 Br
```

Results
Size of the total moment, μB per formula unit: 1.6
Excess energy over the best structure of this formula in the dataset, meV per atom: 327
Raw formation energy, eV/atom: 0.797
D(E_F), states/eV/cell: 4.595
Mass density, g/cm3: 4.13

Crystalline ZrTeAsBr2 at its relaxed geometry, computed with PBE-GGA.

Geometry as POSCAR:
```
ZrTeAsBr2
1.0
5.149 0.000 0.000
0.000 5.149 0.000
0.000 0.000 5.642
Zr Te As Br
1 1 1 2
Direct
0.000 0.000 0.000 Zr
0.500 0.500 0.500 Te
0.000 0.000 0.500 As
0.000 0.500 0.000 Br
0.500 0.000 0.000 Br
```

Results
Size of the total moment, μB per formula unit: 0.4
Excess energy over the best structure of this formula in the dataset, meV per atom: 0
Raw formation energy, eV/atom: -0.220
D(E_F), states/eV/cell: 5.289
Mass density, g/cm3: 5.03